(P)
TaNiIr3 | GGA-PBE | relaxed

CIF file:
```
data_TaNiIr3
_chemical_formula_sum 'Ta1 Ni1 Ir3'
_cell_length_a 4.751
_cell_length_b 4.751
_cell_length_c 4.751
_cell_angle_alpha 90.00
_cell_angle_beta 90.00
_cell_angle_gamma 90.00
_space_group_name_H-M_alt 'P m -3 m'
_space_group_IT_number 221
_space_group_name_Hall '-P 4 2 3'
loop_
_atom_site_label
_atom_site_type_symbol
_atom_site_fract_x
_atom_site_fract_y
_atom_site_fract_z
Ta1 Ta 0.000 0.000 0.000
Ni1 Ni 0.500 0.500 0.500
Ir1 Ir 0.000 0.000 0.500
```

---

(Q)
TaNiIr3 | GGA-PBE | relaxed

CIF file:
```
data_TaNiIr3
_chemical_formula_sum 'Ta1 Ni1 Ir3'
_cell_length_a 4.401
_cell_length_b 4.401
_cell_length_c 4.401
_cell_angle_alpha 90.00
_cell_angle_beta 90.00
_cell_angle_gamma 90.00
_space_group_name_H-M_alt 'P m -3 m'
_space_group_IT_number 221
_space_group_name_Hall '-P 4 2 3'
loop_
_atom_site_label
_atom_site_type_symbol
_atom_site_fract_x
_atom_site_fract_y
_atom_site_fract_z
Ta1 Ta 0.000 0.000 0.000
Ni1 Ni 0.500 0.500 0.500
Ir1 Ir 0.000 0.500 0.500
```

---

Stability ranking, top and bottom: (Q) is the most stable and (P) is the least stable.

---

(P)
TaZnNiIr | GGA-PBE | relaxed

CIF file:
```
data_TaZnNiIr
_chemical_formula_sum 'Ta2 Zn2 Ni2 Ir2'
_cell_length_a 3.939
_cell_length_b 3.939
_cell_length_c 7.353
_cell_angle_alpha 90.00
_cell_angle_beta 90.00
_cell_angle_gamma 90.00
_space_group_name_H-M_alt 'I -4 m 2'
_space_group_IT_number 119
_space_group_name_Hall 'I -4 -2'
loop_
_atom_site_label
_atom_site_type_symbol
_atom_site_fract_x
_atom_site_fract_y
_atom_site_fract_z
Ta1 Ta 0.000 0.000 0.000
Zn1 Zn 0.000 0.000 0.500
Ni1 Ni 0.000 0.500 0.750
Ir1 Ir 0.000 0.500 0.250
```

---

(Q)
TaZnNiIr | GGA-PBE | relaxed

CIF file:
```
data_TaZnNiIr
_chemical_formula_sum 'Ta4 Zn4 Ni4 Ir4'
_cell_length_a 6.142
_cell_length_b 6.142
_cell_length_c 6.142
_cell_angle_alpha 90.00
_cell_angle_beta 90.00
_cell_angle_gamma 90.00
_space_group_name_H-M_alt 'F -4 3 m'
_space_group_IT_number 216
_space_group_name_Hall 'F -4 2 3'
loop_
_atom_site_label
_atom_site_type_symbol
_atom_site_fract_x
_atom_site_fract_y
_atom_site_fract_z
Ta1 Ta 0.000 0.000 0.000
Zn1 Zn 0.000 0.000 0.500
Ni1 Ni 0.250 0.250 0.250
Ir1 Ir 0.250 0.250 0.750
```

---

Stability ranking, top and bottom: (P) is the most stable and (Q) is the least stable.

---

(P)
Tb8Ni2Ir | GGA-PBE | relaxed

CIF file:
```
data_Tb8Ni2Ir
_chemical_formula_sum 'Tb16 Ni4 Ir2'
_cell_length_a 8.188
_cell_length_b 12.522
_cell_length_c 6.039
_cell_angle_alpha 90.00
_cell_angle_beta 109.02
_cell_angle_gamma 90.00
_space_group_name_H-M_alt 'C 1 m 1'
_space_group_IT_number 8
loop_
_space_group_symop_operation_xyz
'x,y,z'
'x,-y,z'
'x+1/2,y+1/2,z'
'x+1/2,-y+1/2,z'
loop_
_atom_site_label
_atom_site_type_symbol
_atom_site_fract_x
_atom_site_fract_y
_atom_site_fract_z
Tb1 Tb 0.000 0.000 0.000
Tb2 Tb 0.069 0.369 0.770
Tb3 Tb 0.148 0.130 0.568
Tb4 Tb 0.218 0.500 0.360
Tb5 Tb 0.358 0.211 0.178
Ni1 Ni 0.361 0.309 0.679
Ir1 Ir 0.359 0.000 0.349
```

---

(Q)
Tb8Ni2Ir | GGA-PBE | relaxed

CIF file:
```
data_Tb8Ni2Ir
_chemical_formula_sum 'Tb16 Ni4 Ir2'
_cell_length_a 17.186
_cell_length_b 5.030
_cell_length_c 6.626
_cell_angle_alpha 90.00
_cell_angle_beta 104.58
_cell_angle_gamma 90.00
_space_group_name_H-M_alt 'C 1 2/m 1'
_space_group_IT_number 12
loop_
_space_group_symop_operation_xyz
'x,y,z'
'-x,-y,-z'
'-x,y,-z'
'x,-y,z'
'x+1/2,y+1/2,z'
'-x+1/2,-y+1/2,-z'
'-x+1/2,y+1/2,-z'
'x+1/2,-y+1/2,z'
loop_
_atom_site_label
_atom_site_type_symbol
_atom_site_fract_x
_atom_site_fract_y
_atom_site_fract_z
Tb1 Tb 0.038 0.000 0.292
Tb2 Tb 0.090 0.500 0.943
Tb3 Tb 0.170 0.500 0.478
Tb4 Tb 0.202 0.000 0.832
Ni1 Ni 0.190 0.000 0.228
Ir1 Ir 0.000 0.500 0.500
```

---

Stability ranking, top and bottom: (Q) is the most stable and (P) is the least stable.

---

(P)
TbNi3Ir2 | GGA-PBE | relaxed

CIF file:
```
data_TbNi3Ir2
_chemical_formula_sum 'Tb6 Ni18 Ir12'
_cell_length_a 5.5030
_cell_length_b 5.5030
_cell_length_c 19.8848
_cell_angle_alpha 90.00
_cell_angle_beta 90.00
_cell_angle_gamma 120.00
_space_group_name_H-M_alt 'R -3 m'
_space_group_IT_number 166
_space_group_name_Hall '-R 3 2"'
loop_
_atom_site_label
_atom_site_type_symbol
_atom_site_fract_x
_atom_site_fract_y
_atom_site_fract_z
Tb1 Tb 0.0000 0.0000 0.2141
Ni1 Ni 0.0273 0.5137 0.2269
Ir1 Ir 0.0000 0.0000 0.0000
Ir2 Ir 0.0000 0.5000 0.0000
```

---

(Q)
TbNi3Ir2 | GGA-PBE | relaxed

CIF file:
```
data_TbNi3Ir2
_chemical_formula_sum 'Tb4 Ni12 Ir8'
_cell_length_a 9.090
_cell_length_b 8.254
_cell_length_c 5.103
_cell_angle_alpha 90.00
_cell_angle_beta 90.00
_cell_angle_gamma 90.00
_space_group_name_H-M_alt 'C m c m'
_space_group_IT_number 63
_space_group_name_Hall '-C 2c 2'
loop_
_atom_site_label
_atom_site_type_symbol
_atom_site_fract_x
_atom_site_fract_y
_atom_site_fract_z
Tb1 Tb 0.000 0.198 0.250
Ni1 Ni 0.000 0.450 0.750
Ni2 Ni 0.184 0.239 0.750
Ir1 Ir 0.233 0.500 0.000
```

---

Stability ranking, top and bottom: (Q) is the most stable and (P) is the least stable.

---

(P)
Tb2Ni3Ir | GGA-PBE | relaxed

CIF file:
```
data_Tb2Ni3Ir
_chemical_formula_sum 'Tb4 Ni6 Ir2'
_cell_length_a 4.539
_cell_length_b 5.138
_cell_length_c 9.202
_cell_angle_alpha 90.00
_cell_angle_beta 90.00
_cell_angle_gamma 90.00
_space_group_name_H-M_alt 'I m m m'
_space_group_IT_number 71
_space_group_name_Hall '-I 2 2'
loop_
_atom_site_label
_atom_site_type_symbol
_atom_site_fract_x
_atom_site_fract_y
_atom_site_fract_z
Tb1 Tb 0.000 0.000 0.190
Ni1 Ni 0.000 0.500 0.124
Ni2 Ni 0.000 0.500 0.500
Ir1 Ir 0.000 0.000 0.500
```

---

(Q)
Tb2Ni3Ir | GGA-PBE | relaxed

CIF file:
```
data_Tb2Ni3Ir
_chemical_formula_sum 'Tb6 Ni9 Ir3'
_cell_length_a 5.0897
_cell_length_b 5.0897
_cell_length_c 12.9715
_cell_angle_alpha 90.00
_cell_angle_beta 90.00
_cell_angle_gamma 120.00
_space_group_name_H-M_alt 'R -3 m'
_space_group_IT_number 166
_space_group_name_Hall '-R 3 2"'
loop_
_atom_site_label
_atom_site_type_symbol
_atom_site_fract_x
_atom_site_fract_y
_atom_site_fract_z
Tb1 Tb 0.0000 0.0000 0.1235
Ni1 Ni 0.0000 0.5000 0.0000
Ir1 Ir 0.0000 0.0000 0.5000
```

---

Stability ranking, top and bottom: (Q) is the most stable and (P) is the least stable.

---

(P)
TcNi2Ir | GGA-PBE | relaxed

CIF file:
```
data_TcNi2Ir
_chemical_formula_sum 'Tc2 Ni4 Ir2'
_cell_length_a 5.242
_cell_length_b 7.369
_cell_length_c 2.642
_cell_angle_alpha 90.00
_cell_angle_beta 90.00
_cell_angle_gamma 90.00
_space_group_name_H-M_alt 'C m m m'
_space_group_IT_number 65
_space_group_name_Hall '-C 2 2'
loop_
_atom_site_label
_atom_site_type_symbol
_atom_site_fract_x
_atom_site_fract_y
_atom_site_fract_z
Tc1 Tc 0.000 0.000 0.000
Ni1 Ni 0.250 0.250 0.500
Ir1 Ir 0.000 0.500 0.000
```

---

(Q)
TcNi2Ir | GGA-PBE | relaxed

CIF file:
```
data_TcNi2Ir
_chemical_formula_sum 'Tc1 Ni2 Ir1'
_cell_length_a 2.639
_cell_length_b 3.714
_cell_length_c 5.204
_cell_angle_alpha 90.00
_cell_angle_beta 90.00
_cell_angle_gamma 90.00
_space_group_name_H-M_alt 'P m m m'
_space_group_IT_number 47
loop_
_space_group_symop_operation_xyz
'x,y,z'
'-x,-y,-z'
'-x,-y,z'
'x,y,-z'
'x,-y,-z'
'-x,y,z'
'-x,y,-z'
'x,-y,z'
loop_
_atom_site_label
_atom_site_type_symbol
_atom_site_fract_x
_atom_site_fract_y
_atom_site_fract_z
Tc1 Tc 0.000 0.000 0.000
Ni1 Ni 0.500 0.500 0.245
Ir1 Ir 0.000 0.000 0.500
```

---

Stability ranking, top and bottom: (Q) is the most stable and (P) is the least stable.